Compound: Ba4YPb3O12
Source: Alexandria
Functional: PBE
Structure: optimized geometry

The structure in POSCAR format:
```
Ba4YPb3O12
1.0
-4.503 -3.593 -4.918
0.597 -4.103 6.339
-2.958 6.775 1.647
Ba O Y Pb
4 12 1 3
direct
0.000 0.000 0.500
0.500 0.000 0.000
0.500 0.500 0.500
0.000 0.500 0.000
0.255 0.000 0.255
0.255 0.255 0.000
0.500 0.750 0.250
0.750 0.250 0.500
0.000 0.255 0.255
0.500 0.250 0.750
0.000 0.745 0.745
0.745 0.745 0.000
0.250 0.750 0.500
0.250 0.500 0.750
0.750 0.500 0.250
0.745 0.000 0.745
0.000 0.000 0.000
0.500 0.000 0.500
0.000 0.500 0.500
0.500 0.500 0.000
```

Summary:
Its symmetry is Im-3m (229). Its formation energy without anion corrections is -1944 meV per atom. Its magnetic moment is 0.00 μB per cell. For the mass density, the calculation gives 7.21 g/cm3.